1.
VASP calculation (PBE) on a geometry-optimized Na2Cu3NiAs4 structure.

```
Na2Cu3NiAs4
1.0
4.1636 0.0000 0.0000
0.0000 4.1636 0.0000
0.0000 0.0000 10.1255
Na Cu Ni As
2 3 1 4
Direct
0.0000 0.5000 0.2377
0.5000 0.0000 0.7623
0.0000 0.0000 0.0000
0.0000 0.5000 0.6371
0.5000 0.0000 0.3629
0.5000 0.5000 0.0000
0.0000 0.0000 0.5000
0.0000 0.5000 0.8745
0.5000 0.0000 0.1255
0.5000 0.5000 0.5000
```

Output
The calculation puts the formation energy at -0.19 eV/atom.

2.
VASP calculation (PBE) on a geometry-optimized AcPPbO structure.

```
AcPPbO
1.0
-1.7605 1.7605 8.5177
1.7605 -1.7605 8.5177
1.7605 1.7605 -8.5177
Ac P Pb O
1 1 1 1
Direct
0.0000 0.0000 0.0000
0.3585 0.3585 0.0000
0.7720 0.7720 0.0000
0.5410 0.5410 0.0000
```

Output
For the formation energy without anion corrections, the calculation gives -1.227 eV/atom.

3.
VASP calculation (PBE) on a geometry-optimized AlSnRuRh2 structure.

```
AlSnRuRh2
1.0
4.7468 0.0000 0.0000
0.0000 4.7468 0.0000
0.0000 0.0000 4.6226
Al Sn Ru Rh
1 1 1 2
Direct
0.0000 0.0000 0.0000
0.5000 0.5000 0.0000
0.0000 0.0000 0.5000
0.0000 0.5000 0.5000
0.5000 0.0000 0.5000
```

Output
The calculation puts the formation energy at 0.73 eV/atom.

4.
VASP calculation (PBE) on a geometry-optimized AgPb2Cl structure.

```
AgPb2Cl
1.0
4.8778 -1.7005 0.0000
4.8778 1.7005 0.0000
-0.8784 0.0000 6.4386
Ag Pb Cl
1 2 1
Direct
0.0000 0.0000 0.0000
0.2566 0.2566 0.7602
0.7434 0.7434 0.2398
0.5000 0.5000 0.5000
```

Output
For the formation energy without anion corrections, the calculation gives -0.147 eV/atom.

5.
VASP calculation (PBE) on a geometry-optimized CaCd2Pb structure.

```
CaCd2Pb
1.0
5.5961 -1.8026 0.0000
5.5961 1.8026 0.0000
-1.2307 0.0000 5.4105
Ca Cd Pb
1 2 1
Direct
0.0000 0.0000 0.0000
0.2504 0.2504 0.7524
0.7496 0.7496 0.2476
0.5000 0.5000 0.5000
```

Output
The calculation puts the formation energy at -0.23 eV/atom.

6.
VASP calculation (PBE) on a geometry-optimized Na3Ca3PS8 structure.

```
Na3Ca3PS8
1.0
3.9828 2.2995 6.6451
-3.9828 2.2995 6.6451
0.0000 -4.5989 6.6451
Na Ca P S
3 3 1 8
Direct
0.0000 0.5000 0.5000
0.5000 0.0000 0.5000
0.5000 0.5000 0.0000
0.0000 0.0000 0.5000
0.0000 0.5000 0.0000
0.5000 0.0000 0.0000
0.5000 0.5000 0.5000
0.2437 0.2437 0.2437
0.2973 0.6998 0.6998
0.3002 0.3002 0.7027
0.3002 0.7027 0.3002
0.6998 0.2973 0.6998
0.6998 0.6998 0.2973
0.7027 0.3002 0.3002
0.7563 0.7563 0.7563
```

Output
For the formation energy without anion corrections, the calculation gives -1.038 eV/atom.

Calculated volume (computed, Å³/cell): 175.5; 105.6; 104.2; 106.8; 109.2; 365.2
Size of the total moment (computed, μB/cell): 0.0; 0.0; 0.0; 0.0; 0.0; 0.7